Record 1
Density functional theory data (PBE) for an optimized crystal structure of LaPmTe2.

Results
ΔE_f (raw): -5.5 eV/f.u.
energy relative to the lowest polymorph listed for this composition: 122 meV per atom
mass density: 7.558 g/cm³

a b c (Å): 5.5104 5.5104 3.9006
angles (deg): 90.00 90.00 90.00
Closest atoms and distances in Å follow each position.
Space group P4/mmm (No. 123)
Unique sites:
La  0.0000  0.0000  0.0000  8 Te 3.38
Pm  0.5000  0.5000  0.0000  8 Te 3.38
Te  0.0000  0.5000  0.5000  4 La 3.38, 4 Pm 3.38

=====

Record 2
Density functional theory data (PBE) for an optimized crystal structure of Ba2LiAlSn2.

Results
energy of formation from the pure elements: -12.72 kcal/mol of atoms
mass density: 4.767 g/cm³

a b c (Å): 6.9666 15.6846 6.9624
angles (deg): 90.00 90.00 90.00
Closest atoms and distances in Å follow each position.
Space group Ibam (No. 72)
Unique sites:
Ba  0.2460  0.1582  0.0000  2 Li 3.48, 2 Al 3.51, 5 Sn 3.56-3.80
Li  0.0000  0.0000  0.2500  4 Sn 2.96
Al  0.0000  0.5000  0.2500  4 Sn 2.88
Sn  0.2400  0.4003  0.0000  2 Al 2.88, 2 Li 2.96

=====

Record 3
Density functional theory data (PBE) for an optimized crystal structure of SmIn3Pd3.

Results
energy of formation from the pure elements: -11.62 kcal/mol of atoms
energy relative to the lowest polymorph listed for this composition: 0 meV per atom
mass density: 8.496 g/cm³

a b c (Å): 8.1300 8.1300 16.6776
angles (deg): 90.00 90.00 120.00
Closest atoms and distances in Å follow each position.
Space group R-3 (No. 148, hexagonal axes)
Unique sites:
Sm  0.0000  0.0000  0.1684  6 Pd 2.94-2.99
In  0.0060  0.6611  0.2855  4 Pd 2.75-2.83
Pd  0.0022  0.6983  0.4494  4 In 2.75-2.83, 2 Sm 2.94-2.99, 2 Pd 2.99

=====

Record 4
Density functional theory data (PBE) for an optimized crystal structure of TeHF.

Results
energy relative to the lowest polymorph listed for this composition: 130 meV per atom
mass density: 3.996 g/cm³

a b c (Å): 13.0604 3.9912 4.7221
angles (deg): 90.00 94.52 90.00
Closest atoms and distances in Å follow each position.
Space group Cm (No. 8)
Unique sites:
Te  0.0000  0.0000  0.0000  2 F 2.59, 2 Te 2.84
Te  0.1052  0.5000  0.3388  1 H 1.69
H  0.2072  0.5000  0.1394  1 Te 1.69
H  0.3254  0.0000  0.6301  1 F 1.05
F  0.2463  0.0000  0.5721  1 H 1.05
F  0.4224  0.0000  0.7049  1 H 1.29

=====

Record 5
Density functional theory data (PBE) for an optimized crystal structure of Mg2NiPt.

Results
energy of formation from the pure elements: -11.74 kcal/mol of atoms
mass density: 8.293 g/cm³

a b c (Å): 2.9948 4.4913 4.5018
angles (deg): 90.00 90.00 90.00
Closest atoms and distances in Å follow each position.
Space group Pmm2 (No. 25)
Unique sites:
Mg  0.0000  0.0000  0.0000  4 Pt 2.70, 4 Ni 2.70-2.71, 2 Mg 2.99
Mg  0.0000  0.5000  0.4974  4 Ni 2.70, 4 Pt 2.70, 2 Mg 2.99
Ni  0.5000  0.0000  0.5007  8 Mg 2.70-2.71, 2 Ni 2.99
Pt  0.5000  0.5000  0.9971  8 Mg 2.70, 2 Pt 2.99

=====

Record 6
Density functional theory data (PBE) for an optimized crystal structure of BaMgZn3.

Results
energy of formation from the pure elements: 19.58 kcal/mol of atoms
energy relative to the lowest polymorph listed for this composition: 994 meV per atom
mass density: 2.475 g/cm³

a b c (Å): 6.2153 6.2153 6.2153
angles (deg): 90.00 90.00 90.00
Closest atoms and distances in Å follow each position.
Space group Pm-3m (No. 221)
Unique sites:
Ba  0.0000  0.0000  0.0000  6 Zn 3.11
Mg  0.5000  0.5000  0.5000  12 Zn 4.39
Zn  0.0000  0.0000  0.5000  2 Ba 3.11

=====

Total magnetization, respectively: 0.736 0.000 0.000 0.000 0.000 0.000 μB per formula unit.